RbCe2S4 | GGA-PBE | relaxed

The structure in extended XYZ format:
```
14
Lattice="-4.3215 4.3215 6.0911 4.3215 -4.3215 6.0911 4.3215 4.3215 -6.0911" Properties=species:S:1:pos:R:3 pbc="T T T"
Rb 4.3215 2.1608 1.5228
Rb 0.0000 2.1608 4.5683
Ce 0.0000 0.0000 0.0000
Ce 2.1608 2.1608 -3.0455
Ce 2.1608 -2.1608 3.0455
Ce 0.0000 4.3215 0.0000
S 4.3215 3.9348 -3.3098
S 4.3215 -0.3867 3.3098
S 1.7741 2.1608 -0.2643
S 2.5474 -2.1608 5.8268
S 1.7741 6.4823 0.2643
S 2.5474 2.1608 6.3554
S 0.0000 4.7082 2.7813
S 0.0000 0.3867 9.4009
```

Output
**Formation energy (no corrections)**: -1.770 eV per atom
**Volume**: 455.0 Å³/cell
**Total DFT energy (no corrections)**: -83.467 eV per cell